*A*
The following is a PBE+U calculation of an optimized crystal structure of Li3CoO4, from OQMD via LeMat-Bulk.

```
Li3CoO4
1.0
4.851 0.000 0.000
0.000 11.404 0.000
-1.647 0.000 4.634
Li Co O
12 4 16
direct
0.000 0.000 0.000 Li
0.000 0.120 0.500 Li
0.000 0.248 0.000 Li
0.000 0.496 0.000 Li
0.000 0.747 0.000 Li
0.500 0.000 0.500 Li
0.500 0.126 0.000 Li
0.500 0.247 0.500 Li
0.500 0.375 0.000 Li
0.500 0.496 0.500 Li
0.500 0.616 0.000 Li
0.500 0.873 0.000 Li
0.000 0.366 0.500 Co
0.000 0.618 0.500 Co
0.000 0.877 0.500 Co
0.500 0.747 0.500 Co
0.223 0.501 0.727 O
0.226 0.980 0.735 O
0.227 0.375 0.275 O
0.234 0.261 0.734 O
0.243 0.744 0.721 O
0.247 0.631 0.280 O
0.253 0.122 0.245 O
0.253 0.861 0.281 O
0.747 0.122 0.755 O
0.747 0.861 0.719 O
0.753 0.631 0.720 O
0.757 0.744 0.279 O
0.766 0.261 0.266 O
0.773 0.375 0.725 O
0.774 0.980 0.265 O
0.777 0.501 0.273 O
```

SG: P2 (3)
Spin magnetization in μB/f.u.: 2.00


*B*
The following is a PBE+U calculation of an optimized crystal structure of Li3CoO4, from OQMD via LeMat-Bulk.

```
Li3CoO4
1.0
4.697 -1.422 0.000
4.697 1.422 0.000
-1.046 0.000 4.761
Li Co O
3 1 4
direct
0.000 0.000 0.000 Li
0.252 0.252 0.762 Li
0.748 0.748 0.238 Li
0.500 0.500 0.500 Co
0.112 0.112 0.391 O
0.383 0.383 0.157 O
0.617 0.617 0.843 O
0.888 0.888 0.609 O
```

SG: C2/m (12)
Spin magnetization in μB/f.u.: 1.51


Question: of the structures shown, which is the least stable? Reply: *A*.